(1)
## Si3PBr (PBE)

Data for a relaxed Si3PBr crystal.

Cell lengths 4.9742, 4.9742, 4.9742 Å; angles 90.00, 90.00, 90.00 degrees
Element x y z (fractional)
Si (0.0000, 0.0000, 0.5000)
Si (0.0000, 0.5000, 0.0000)
Si (0.5000, 0.0000, 0.0000)
P (0.5000, 0.5000, 0.5000)
Br (0.0000, 0.0000, 0.0000)

The value obtained for the energy relative to the elements, uncorrected is 162.1 kJ/mol of atoms.

(2)
## Na2InSnBr6 (PBE)

Data for a relaxed Na2InSnBr6 crystal.

Cell lengths 8.1024, 8.1024, 8.1024 Å; angles 55.03, 55.03, 55.03 degrees
Element x y z (fractional)
Na (0.0000, 0.0000, 0.0000)
Na (0.4993, 0.4993, 0.4993)
In (0.3064, 0.3064, 0.3064)
Sn (0.8069, 0.8069, 0.8069)
Br (0.0850, 0.4133, 0.6976)
Br (0.2011, 0.9163, 0.5817)
Br (0.4133, 0.6976, 0.0850)
Br (0.5817, 0.2011, 0.9163)
Br (0.6976, 0.0850, 0.4133)
Br (0.9163, 0.5817, 0.2011)

The value obtained for the energy relative to the elements, uncorrected is -99.9 kJ/mol of atoms.

(3)
## Ba8Lu3Pt4O18 (PBE)

Data for a relaxed Ba8Lu3Pt4O18 crystal.

Cell lengths 8.3918, 8.3918, 8.3918 Å; angles 90.00, 90.00, 90.00 degrees
Element x y z (fractional)
Ba (0.2380, 0.2380, 0.2380)
Ba (0.2380, 0.2380, 0.7620)
Ba (0.2380, 0.7620, 0.2380)
Ba (0.2380, 0.7620, 0.7620)
Ba (0.7620, 0.2380, 0.2380)
Ba (0.7620, 0.2380, 0.7620)
Ba (0.7620, 0.7620, 0.2380)
Ba (0.7620, 0.7620, 0.7620)
Lu (0.0000, 0.0000, 0.5000)
Lu (0.0000, 0.5000, 0.0000)
Lu (0.5000, 0.0000, 0.0000)
Pt (0.0000, 0.0000, 0.0000)
Pt (0.0000, 0.5000, 0.5000)
Pt (0.5000, 0.0000, 0.5000)
Pt (0.5000, 0.5000, 0.0000)
O (0.0000, 0.0000, 0.2417)
O (0.0000, 0.0000, 0.7583)
O (0.0000, 0.2417, 0.0000)
O (0.0000, 0.2586, 0.5000)
O (0.0000, 0.5000, 0.2586)
O (0.0000, 0.5000, 0.7414)
O (0.0000, 0.7414, 0.5000)
O (0.0000, 0.7583, 0.0000)
O (0.2417, 0.0000, 0.0000)
O (0.2586, 0.0000, 0.5000)
O (0.2586, 0.5000, 0.0000)
O (0.5000, 0.0000, 0.2586)
O (0.5000, 0.0000, 0.7414)
O (0.5000, 0.2586, 0.0000)
O (0.5000, 0.7414, 0.0000)
O (0.7414, 0.0000, 0.5000)
O (0.7414, 0.5000, 0.0000)
O (0.7583, 0.0000, 0.0000)

The value obtained for the energy relative to the elements, uncorrected is -223.1 kJ/mol of atoms.

(4)
## AlV6Ir (PBE)

Data for a relaxed AlV6Ir crystal.

Cell lengths 4.2388, 5.2268, 5.2268 Å; angles 70.67, 90.00, 90.00 degrees
Element x y z (fractional)
Al (0.0000, 0.0000, 0.0000)
V (0.0000, 0.0124, 0.4908)
V (0.0000, 0.4908, 0.0124)
V (0.0000, 0.4995, 0.4995)
V (0.5000, 0.2397, 0.2397)
V (0.5000, 0.2597, 0.7309)
V (0.5000, 0.7309, 0.2597)
Ir (0.5000, 0.7546, 0.7546)

Its formation enthalpy at 0 K is -282 meV/atom.

(5)
## Ca2MgZnRu (PBE)

Data for a relaxed Ca2MgZnRu crystal.

Cell lengths 5.6610, 5.6610, 4.6513 Å; angles 90.00, 90.00, 90.00 degrees
Element x y z (fractional)
Ca (0.0000, 0.5000, 0.0000)
Ca (0.5000, 0.0000, 0.0000)
Mg (0.0000, 0.0000, 0.0000)
Zn (0.0000, 0.0000, 0.5000)
Ru (0.5000, 0.5000, 0.5000)

Its formation enthalpy at 0 K is 1037 meV/atom.

(6)
## KHgCl2 (PBE)

Data for a relaxed KHgCl2 crystal.

Cell lengths 7.1787, 7.1787, 7.1787 Å; angles 37.30, 37.30, 37.30 degrees
Element x y z (fractional)
K (0.0000, 0.0000, 0.0000)
Hg (0.5000, 0.5000, 0.5000)
Cl (0.2448, 0.2448, 0.2448)
Cl (0.7552, 0.7552, 0.7552)

The value obtained for the energy relative to the elements, uncorrected is -97.6 kJ/mol of atoms.

(7)
## CsNpAs2Au (PBE)

Data for a relaxed CsNpAs2Au crystal.

Cell lengths 9.0143, 9.0143, 5.8268 Å; angles 90.00, 90.00, 137.64 degrees
Element x y z (fractional)
Cs (0.2500, 0.7500, 0.7735)
Cs (0.7500, 0.2500, 0.2265)
Np (0.2500, 0.2500, 0.5000)
Np (0.7500, 0.7500, 0.5000)
As (0.1151, 0.8849, 0.2822)
As (0.3849, 0.6151, 0.2822)
As (0.6151, 0.3849, 0.7178)
As (0.8849, 0.1151, 0.7178)
Au (0.0000, 0.0000, 0.0000)
Au (0.5000, 0.5000, 0.0000)

Its formation enthalpy at 0 K is -278 meV/atom.

(8)
## ZnP2Os (PBE)

Data for a relaxed ZnP2Os crystal.

Cell lengths 4.3165, 4.3165, 3.0946 Å; angles 90.00, 90.00, 105.87 degrees
Element x y z (fractional)
Zn (0.0000, 0.0000, 0.0000)
P (0.0000, 0.5000, 0.5000)
P (0.5000, 0.0000, 0.5000)
Os (0.5000, 0.5000, 0.0000)

Its formation enthalpy at 0 K is 386 meV/atom.

(9)
## VGa2Ir (PBE)

Data for a relaxed VGa2Ir crystal.

Cell lengths 9.6018, 9.6018, 9.6018 Å; angles 157.66, 157.66, 31.80 degrees
Element x y z (fractional)
V (0.0000, 0.0000, 0.0000)
V (0.7500, 0.2500, 0.5000)
Ga (0.1194, 0.6250, 0.9944)
Ga (0.3750, 0.3694, 0.4944)
Ga (0.6306, 0.1250, 0.0056)
Ga (0.8750, 0.8806, 0.5056)
Ir (0.2500, 0.7500, 0.5000)
Ir (0.5000, 0.5000, 0.0000)

Its formation enthalpy at 0 K is 72 meV/atom.

(10)
## ZnRhF6 (PBE)

Data for a relaxed ZnRhF6 crystal.

Cell lengths 5.4765, 5.4765, 5.4765 Å; angles 55.57, 55.57, 55.57 degrees
Element x y z (fractional)
Zn (0.0000, 0.0000, 0.0000)
Rh (0.5000, 0.5000, 0.5000)
F (0.1184, 0.7404, 0.3958)
F (0.2596, 0.6042, 0.8816)
F (0.3958, 0.1184, 0.7404)
F (0.6042, 0.8816, 0.2596)
F (0.7404, 0.3958, 0.1184)
F (0.8816, 0.2596, 0.6042)

The value obtained for the energy relative to the elements, uncorrected is -172.4 kJ/mol of atoms.

(11)
## Ta4Os3Ru (PBE)

Data for a relaxed Ta4Os3Ru crystal.

Cell lengths 7.5798, 7.5798, 4.3222 Å; angles 106.50, 106.50, 33.13 degrees
Element x y z (fractional)
Ta (0.1248, 0.1248, 0.1248)
Ta (0.3752, 0.3752, 0.3752)
Ta (0.6248, 0.6248, 0.6248)
Ta (0.8752, 0.8752, 0.8752)
Os (0.0000, 0.0000, 0.5000)
Os (0.2519, 0.2519, 0.7518)
Os (0.7481, 0.7481, 0.2482)
Ru (0.5000, 0.5000, 0.0000)

Its formation enthalpy at 0 K is -281 meV/atom.

(12)
## Li2SmNpTe4 (PBE)

Data for a relaxed Li2SmNpTe4 crystal.

Cell lengths 7.5010, 4.4024, 7.6453 Å; angles 90.00, 109.95, 90.00 degrees
Element x y z (fractional)
Li (0.0000, 0.0000, 0.0000)
Li (0.0000, 0.5000, 0.5000)
Sm (0.5000, 0.0000, 0.5000)
Np (0.5000, 0.5000, 0.0000)
Te (0.2395, 0.5000, 0.2459)
Te (0.2420, 0.0000, 0.7484)
Te (0.7580, 0.0000, 0.2516)
Te (0.7605, 0.5000, 0.7541)

The value obtained for the energy relative to the elements, uncorrected is -100.0 kJ/mol of atoms.

(13)
## Dy2YPd3 (PBE)

Data for a relaxed Dy2YPd3 crystal.

Cell lengths 7.9294, 7.9294, 3.4375 Å; angles 90.00, 90.00, 143.12 degrees
Element x y z (fractional)
Dy (0.1663, 0.8337, 0.0000)
Dy (0.8337, 0.1663, 0.0000)
Y (0.5000, 0.5000, 0.0000)
Pd (0.0000, 0.0000, 0.5000)
Pd (0.3316, 0.6684, 0.5000)
Pd (0.6684, 0.3316, 0.5000)

Its formation enthalpy at 0 K is -886 meV/atom.

(14)
## TeIr2Br (PBE)

Data for a relaxed TeIr2Br crystal.

Cell lengths 5.5571, 5.5571, 5.5571 Å; angles 138.72, 138.72, 59.81 degrees
Element x y z (fractional)
Te (0.0000, 0.0000, 0.0000)
Ir (0.5000, 0.5000, 0.0000)
Ir (0.7500, 0.2500, 0.5000)
Br (0.2500, 0.7500, 0.5000)

The value obtained for the energy relative to the elements, uncorrected is 96.8 kJ/mol of atoms.

(15)
## Ac10In3Au3 (PBE)

Data for a relaxed Ac10In3Au3 crystal.

Cell lengths 9.5116, 9.5116, 7.4557 Å; angles 90.00, 90.00, 120.00 degrees
Element x y z (fractional)
Ac (0.0000, 0.2482, 0.0000)
Ac (0.0000, 0.7621, 0.5000)
Ac (0.2379, 0.2379, 0.5000)
Ac (0.2482, 0.0000, 0.0000)
Ac (0.3333, 0.6667, 0.2456)
Ac (0.3333, 0.6667, 0.7544)
Ac (0.6667, 0.3333, 0.2456)
Ac (0.6667, 0.3333, 0.7544)
Ac (0.7518, 0.7518, 0.0000)
Ac (0.7621, 0.0000, 0.5000)
In (0.0000, 0.4083, 0.5000)
In (0.4083, 0.0000, 0.5000)
In (0.5917, 0.5917, 0.5000)
Au (0.0000, 0.6038, 0.0000)
Au (0.3962, 0.3962, 0.0000)
Au (0.6038, 0.0000, 0.0000)

Its formation enthalpy at 0 K is -424 meV/atom.

(16)
## Ta2CdAs (PBE)

Data for a relaxed Ta2CdAs crystal.

Cell lengths 5.3292, 5.3292, 4.8435 Å; angles 116.93, 116.93, 37.33 degrees
Element x y z (fractional)
Ta (0.2299, 0.2299, 0.2299)
Ta (0.7701, 0.7701, 0.7701)
Cd (0.0000, 0.0000, 0.5000)
As (0.5000, 0.5000, 0.0000)

Its formation enthalpy at 0 K is 153 meV/atom.

(17)
## BaFe2AuCl (PBE)

Data for a relaxed BaFe2AuCl crystal.

Cell lengths 4.3667, 4.3667, 6.5626 Å; angles 90.00, 90.00, 90.00 degrees
Element x y z (fractional)
Ba (0.0000, 0.0000, 0.0000)
Fe (0.0000, 0.5000, 0.5000)
Fe (0.5000, 0.0000, 0.5000)
Au (0.5000, 0.5000, 0.0000)
Cl (0.5000, 0.5000, 0.5000)

The value obtained for the energy relative to the elements, uncorrected is 43.6 kJ/mol of atoms.

(18)
## LiDySn2 (PBE)

Data for a relaxed LiDySn2 crystal.

Cell lengths 5.1934, 5.1934, 5.1934 Å; angles 60.00, 60.00, 60.00 degrees
Element x y z (fractional)
Li (0.0000, 0.0000, 0.0000)
Dy (0.5000, 0.5000, 0.5000)
Sn (0.2500, 0.2500, 0.2500)
Sn (0.7500, 0.7500, 0.7500)

Its formation enthalpy at 0 K is -403 meV/atom.

(19)
## TaCoNi (PBE)

Data for a relaxed TaCoNi crystal.

Cell lengths 4.5873, 4.5873, 4.9367 Å; angles 90.00, 90.00, 130.97 degrees
Element x y z (fractional)
Ta (0.1973, 0.8027, 0.7500)
Ta (0.8027, 0.1973, 0.2500)
Co (0.5000, 0.5000, 0.0000)
Co (0.5000, 0.5000, 0.5000)
Ni (0.1022, 0.8978, 0.2500)
Ni (0.8978, 0.1022, 0.7500)

Its formation enthalpy at 0 K is -207 meV/atom.

(20)
## PuAl3H (PBE)

Data for a relaxed PuAl3H crystal.

Cell lengths 4.3217, 4.3217, 4.3217 Å; angles 90.00, 90.00, 90.00 degrees
Element x y z (fractional)
Pu (0.0000, 0.0000, 0.0000)
Al (0.0000, 0.5000, 0.5000)
Al (0.5000, 0.0000, 0.5000)
Al (0.5000, 0.5000, 0.0000)
H (0.5000, 0.5000, 0.5000)

The value obtained for the calculated total energy is -0.2125 Ha/atom.

(21)
## Zr2TiSnN (PBE)

Data for a relaxed Zr2TiSnN crystal.

Cell lengths 4.6449, 4.6449, 4.0307 Å; angles 90.00, 90.00, 90.00 degrees
Element x y z (fractional)
Zr (0.0000, 0.5000, 0.0000)
Zr (0.5000, 0.0000, 0.0000)
Ti (0.0000, 0.0000, 0.5000)
Sn (0.5000, 0.5000, 0.5000)
N (0.0000, 0.0000, 0.0000)

The value obtained for the energy relative to the elements, uncorrected is -87.6 kJ/mol of atoms.

(22)
## CaHfCl2 (PBE)

Data for a relaxed CaHfCl2 crystal.

Cell lengths 9.1640, 9.1640, 9.1640 Å; angles 21.99, 21.99, 21.99 degrees
Element x y z (fractional)
Ca (0.0000, 0.0000, 0.0000)
Hf (0.5000, 0.5000, 0.5000)
Cl (0.4028, 0.4028, 0.4028)
Cl (0.5972, 0.5972, 0.5972)

The value obtained for the energy relative to the elements, uncorrected is -90.8 kJ/mol of atoms.

(23)
## AlReC3 (PBE)

Data for a relaxed AlReC3 crystal.

Cell lengths 4.0421, 4.0421, 4.0421 Å; angles 90.00, 90.00, 90.00 degrees
Element x y z (fractional)
Al (0.0000, 0.0000, 0.0000)
Re (0.5000, 0.5000, 0.5000)
C (0.0000, 0.5000, 0.5000)
C (0.5000, 0.0000, 0.5000)
C (0.5000, 0.5000, 0.0000)

Its formation enthalpy at 0 K is 1731 meV/atom.

(24)
## MgMnAu14 (PBE)

Data for a relaxed MgMnAu14 crystal.

Cell lengths 5.9651, 5.9651, 8.0343 Å; angles 90.00, 90.00, 90.00 degrees
Element x y z (fractional)
Mg (0.0000, 0.0000, 0.0000)
Mn (0.5000, 0.5000, 0.0000)
Au (0.0000, 0.0000, 0.5000)
Au (0.0000, 0.5000, 0.0000)
Au (0.0000, 0.5000, 0.5000)
Au (0.2510, 0.2510, 0.2445)
Au (0.2510, 0.2510, 0.7555)
Au (0.2510, 0.7490, 0.2445)
Au (0.2510, 0.7490, 0.7555)
Au (0.5000, 0.0000, 0.0000)
Au (0.5000, 0.0000, 0.5000)
Au (0.5000, 0.5000, 0.5000)
Au (0.7490, 0.2510, 0.2445)
Au (0.7490, 0.2510, 0.7555)
Au (0.7490, 0.7490, 0.2445)
Au (0.7490, 0.7490, 0.7555)

Its formation enthalpy at 0 K is -107 meV/atom.

| no. | calculated density (g/cm³) |
| --- | --- |
| 1 | 2.6 |
| 2 | 3.8 |
| 3 | 7.6 |
| 4 | 8.0 |
| 5 | 3.0 |
| 6 | 4.2 |
| 7 | 7.5 |
| 8 | 9.5 |
| 9 | 9.9 |
| 10 | 4.5 |
| 11 | 17.9 |
| 12 | 6.4 |
| 13 | 9.4 |
| 14 | 13.3 |
| 15 | 9.1 |
| 16 | 12.4 |
| 17 | 6.4 |
| 18 | 6.8 |
| 19 | 12.6 |
| 20 | 6.7 |
| 21 | 6.9 |
| 22 | 5.1 |
| 23 | 6.3 |
| 24 | 16.5 |